No. 1
Compound: MgTcPt
Source: the Alexandria database
Functional: PBE-GGA
Structure: optimized geometry

a b c (Å): 4.8394 4.8394 4.8394
angles (deg): 146.85 130.83 60.59
Last column: nearest neighbours and their distance in Å.
Positions (direct):
1 Mg 0.0000 0.0000 0.0000  5 Tc 2.75-2.83, 2 Mg 2.76, 5 Pt 2.80-2.81
2 Tc 0.3291 0.3291 0.0000  5 Mg 2.75-2.83, 2 Tc 2.76, 5 Pt 2.80
3 Pt 0.6640 0.6640 0.0000  2 Pt 2.76, 5 Tc 2.80, 5 Mg 2.80-2.81

Computed properties:
Crystal system   orthorhombic
Space group   Imm2, No. 44
Total DFT energy (no corrections)   -6.084 eV per atom

***

No. 2
Compound: Mg2TcPt
Source: the Alexandria database
Functional: PBE-GGA
Structure: optimized geometry

a b c (Å): 5.2600 5.2600 2.7386
angles (deg): 101.83 101.83 114.07
Last column: nearest neighbours and their distance in Å.
Positions (direct):
1 Mg 0.0000 0.5000 0.0000  2 Tc 2.70, 2 Pt 2.70, 4 Mg 2.74-2.86
2 Mg 0.5000 0.0000 0.0000  2 Tc 2.70, 2 Pt 2.70, 4 Mg 2.74-2.86
3 Tc 0.0000 0.0000 0.5000  4 Mg 2.70, 2 Tc 2.74, 2 Pt 2.86
4 Pt 0.5000 0.5000 0.5000  4 Mg 2.70, 2 Pt 2.74, 2 Tc 2.86

Computed properties:
Crystal system   monoclinic
Space group   C2/m, No. 12
Total DFT energy (no corrections)   -5.053 eV per atom

***

No. 3
Compound: Mg2TcPt
Source: the Alexandria database
Functional: PBE-GGA
Structure: optimized geometry

a b c (Å): 5.0153 5.0153 2.7261
angles (deg): 90.00 90.00 109.64
Last column: nearest neighbours and their distance in Å.
Positions (direct):
1 Mg 0.0000 0.5000 0.0000  4 Mg 2.73-2.89, 4 Tc 2.85, 4 Pt 2.85
2 Mg 0.5000 0.0000 0.0000  4 Mg 2.73-2.89, 4 Tc 2.85, 4 Pt 2.85
3 Tc 0.0000 0.0000 0.5000  2 Tc 2.73, 8 Mg 2.85, 2 Pt 2.89
4 Pt 0.5000 0.5000 0.5000  2 Pt 2.73, 8 Mg 2.85, 2 Tc 2.89

Computed properties:
Crystal system   orthorhombic
Space group   Cmmm, No. 65
Total DFT energy (no corrections)   -5.042 eV per atom

***

Number 1: formation energy from the elements -0.0833 eV/atom. Number 2: formation energy from the elements -0.1545 eV/atom. Number 3: formation energy from the elements -0.1427 eV/atom.